Entry 1:
# CdSbO2F, optimized geometry, DFT PBE
data_CdSbO2F
_cell_length_a 4.2852
_cell_length_b 4.2852
_cell_length_c 4.2296
_cell_angle_alpha 90.00
_cell_angle_beta 90.00
_cell_angle_gamma 90.00
_space_group_name_H-M_alt 'P 4/m m m'
_space_group_IT_number 123
_space_group_name_Hall '-P 4 2'
loop_
_atom_site_label
_atom_site_fract_x
_atom_site_fract_y
_atom_site_fract_z
_atom_site_occupancy
Cd1 0.0000 0.0000 0.0000 1
Sb1 0.5000 0.5000 0.5000 1
O1 0.0000 0.5000 0.0000 1
F1 0.0000 0.0000 0.5000 1
# DFT total energy ... -19.58 eV for the cell shown
# Formation energy (no corrections) ... -0.55 eV/atom


Entry 2:
# CdSbO2F, optimized geometry, DFT PBE
data_CdSbO2F
_cell_length_a 5.5450
_cell_length_b 3.9847
_cell_length_c 7.5792
_cell_angle_alpha 90.00
_cell_angle_beta 99.08
_cell_angle_gamma 90.00
_space_group_name_H-M_alt 'P 1 21/m 1'
_space_group_IT_number 11
loop_
_space_group_symop_operation_xyz
'x,y,z'
'-x,-y,-z'
'-x,y+1/2,-z'
'x,-y+1/2,z'
loop_
_atom_site_label
_atom_site_fract_x
_atom_site_fract_y
_atom_site_fract_z
_atom_site_occupancy
Cd1 0.2117 0.2500 0.4304 1
Sb1 0.1896 0.2500 0.8950 1
O1 0.0226 0.7500 0.3427 1
O2 0.0478 0.7500 0.9156 1
F1 0.4193 0.7500 0.6375 1
# DFT total energy ... -49.25 eV for the cell shown
# Formation energy (no corrections) ... -1.56 eV/atom


Entry 3:
# CdSbO2F, optimized geometry, DFT PBE
data_CdSbO2F
_cell_length_a 4.2054
_cell_length_b 4.2054
_cell_length_c 4.4097
_cell_angle_alpha 90.00
_cell_angle_beta 90.00
_cell_angle_gamma 90.00
_space_group_name_H-M_alt 'P 4/m m m'
_space_group_IT_number 123
_space_group_name_Hall '-P 4 2'
loop_
_atom_site_label
_atom_site_fract_x
_atom_site_fract_y
_atom_site_fract_z
_atom_site_occupancy
Cd1 0.0000 0.0000 0.0000 1
Sb1 0.5000 0.5000 0.5000 1
O1 0.0000 0.5000 0.5000 1
F1 0.5000 0.5000 0.0000 1
# DFT total energy ... -21.97 eV for the cell shown
# Formation energy (no corrections) ... -1.03 eV/atom


Entry 4:
# CdSbOF2, optimized geometry, DFT PBE
data_CdSbOF2
_cell_length_a 4.9467
_cell_length_b 4.9467
_cell_length_c 3.7741
_cell_angle_alpha 90.00
_cell_angle_beta 90.00
_cell_angle_gamma 90.00
_space_group_name_H-M_alt 'P 4/m m m'
_space_group_IT_number 123
_space_group_name_Hall '-P 4 2'
loop_
_atom_site_label
_atom_site_fract_x
_atom_site_fract_y
_atom_site_fract_z
_atom_site_occupancy
Cd1 0.0000 0.0000 0.0000 1
Sb1 0.5000 0.5000 0.0000 1
O1 0.0000 0.0000 0.5000 1
F1 0.0000 0.5000 0.5000 1
# DFT total energy ... -14.99 eV for the cell shown
# Formation energy (no corrections) ... -0.25 eV/atom


Entry 5:
# CdSeO4F, optimized geometry, DFT PBE
data_CdSeO4F
_cell_length_a 8.6559
_cell_length_b 7.3939
_cell_length_c 7.7437
_cell_angle_alpha 90.00
_cell_angle_beta 111.49
_cell_angle_gamma 90.00
_space_group_name_H-M_alt 'C 1 2/m 1'
_space_group_IT_number 12
loop_
_space_group_symop_operation_xyz
'x,y,z'
'-x,-y,-z'
'-x,y,-z'
'x,-y,z'
'x+1/2,y+1/2,z'
'-x+1/2,-y+1/2,-z'
'-x+1/2,y+1/2,-z'
'x+1/2,-y+1/2,z'
loop_
_atom_site_label
_atom_site_fract_x
_atom_site_fract_y
_atom_site_fract_z
_atom_site_occupancy
Cd1 0.1741 0.0000 0.1978 1
Se1 0.1482 0.5000 0.2987 1
O1 0.0337 0.5000 0.6580 1
O2 0.1430 0.3164 0.1724 1
O3 0.1927 0.0000 0.4996 1
F1 0.1023 0.0000 0.8964 1
# DFT total energy ... -124.91 eV for the cell shown
# Formation energy (no corrections) ... -0.73 eV/atom


Entry 6:
# CdSeO2F, optimized geometry, DFT PBE
data_CdSeO2F
_cell_length_a 4.2607
_cell_length_b 4.2607
_cell_length_c 4.1998
_cell_angle_alpha 90.00
_cell_angle_beta 90.00
_cell_angle_gamma 90.00
_space_group_name_H-M_alt 'P 4/m m m'
_space_group_IT_number 123
_space_group_name_Hall '-P 4 2'
loop_
_atom_site_label
_atom_site_fract_x
_atom_site_fract_y
_atom_site_fract_z
_atom_site_occupancy
Cd1 0.0000 0.0000 0.0000 1
Se1 0.5000 0.5000 0.5000 1
O1 0.0000 0.5000 0.0000 1
F1 0.0000 0.0000 0.5000 1
# DFT total energy ... -15.81 eV for the cell shown
# Formation energy (no corrections) ... 0.08 eV/atom